Computed, not measured: a geometry-optimized CeThSc4 structure at the PBE-GGA level of DFT.

```
data_CeThSc4
_cell_length_a 8.435
_cell_length_b 9.199
_cell_length_c 6.240
_cell_angle_alpha 42.52
_cell_angle_beta 82.07
_cell_angle_gamma 90.00
_space_group_name_H-M_alt 'P 1'
_space_group_IT_number 1
_space_group_name_Hall 'P 1'
loop_
_atom_site_label
_atom_site_fract_x
_atom_site_fract_y
_atom_site_fract_z
Ce1 0.380 0.119 0.762
Ce2 0.620 0.881 0.238
Th1 0.872 0.628 0.744
Th2 0.128 0.372 0.256
Sc1 0.250 0.915 0.504
Sc2 0.000 0.833 0.000
Sc3 0.250 0.581 0.504
Sc4 0.500 0.666 0.000
Sc5 0.750 0.085 0.496
Sc6 0.750 0.419 0.496
Sc7 0.000 0.167 0.000
Sc8 0.500 0.334 0.000
```

Values from the calculation:
DFT formation energy: 0.048 eV per atom
Total moment: 0.037 μB/atom
Fermi-level density of states: 12.82 states/eV/f.u.
Crystal system: monoclinic
SG: C2/m